(1)
Below is a crystal of MgIn2Te4 relaxed with PBEsol, with properties calculated at the meta-GGA SCAN level.

Unit cell a=7.6138 b=7.6138 c=7.6138 alpha=131.79 beta=131.79 gamma=70.55
Closest atoms and distances in Å follow each position.
Atoms (fractional coordinates):
Mg (0.0000, 0.0000, 0.0000)  4 Te 2.80
In (0.2500, 0.7500, 0.5000)  4 Te 2.81
In (0.7500, 0.2500, 0.5000)  4 Te 2.81
Te (0.1677, 0.1677, 0.5561)  1 Mg 2.80, 2 In 2.81
Te (0.3885, 0.8323, 0.0000)  1 Mg 2.80, 2 In 2.81
Te (0.6115, 0.6115, 0.4439)  1 Mg 2.80, 2 In 2.81
Te (0.8323, 0.3885, 0.0000)  1 Mg 2.80, 2 In 2.81

Results
E_tot = -32.074 eV per atom
Raw formation energy = -538 meV per atom
Space-group type = No. 121

---

(2)
Below is a crystal of BaMnW relaxed with PBEsol, with properties calculated at the meta-GGA SCAN level.

Unit cell a=3.9252 b=3.9252 c=5.5028 alpha=90.00 beta=90.00 gamma=120.00
Closest atoms and distances in Å follow each position.
Atoms (fractional coordinates):
Ba (0.0000, 0.0000, 0.0000)  6 Mn 3.56, 6 W 3.56, 6 Ba 3.93
Mn (0.3333, 0.6667, 0.5000)  3 W 2.27
W (0.6667, 0.3333, 0.5000)  3 Mn 2.27

Results
E_tot = -41.358 eV per atom
Space-group type = No. 187
Formation energy from the elements = 1.14 eV/atom

---

(3)
Below is a crystal of LiBeAu2 relaxed with PBEsol, with properties calculated at the meta-GGA SCAN level.

Unit cell a=4.9083 b=4.9083 c=4.9083 alpha=137.13 beta=137.13 gamma=62.24
Closest atoms and distances in Å follow each position.
Atoms (fractional coordinates):
Li (0.0000, 0.0000, 0.0000)  8 Au 2.54-2.76, 4 Be 2.76
Be (0.2500, 0.7500, 0.5000)  8 Au 2.54-2.76, 4 Li 2.76
Au (0.5000, 0.5000, 0.0000)  4 Li 2.54, 4 Au 2.76, 4 Be 2.76
Au (0.7500, 0.2500, 0.5000)  4 Be 2.54, 4 Au 2.76, 4 Li 2.76

Results
E_tot = -36.661 eV per atom
Space-group type = No. 119
Formation energy from the elements = -0.40 eV/atom

---

(4)
Below is a crystal of ZrVCr relaxed with PBEsol, with properties calculated at the meta-GGA SCAN level.

Unit cell a=5.0502 b=5.0502 c=5.0502 alpha=121.47 beta=118.18 gamma=90.33
Closest atoms and distances in Å follow each position.
Atoms (fractional coordinates):
Zr (0.3729, 0.1229, 0.2500)  6 V 2.92-2.98, 6 Cr 2.93-3.01, 4 Zr 3.06-3.13
Zr (0.6271, 0.8771, 0.7500)  6 V 2.92-2.98, 6 Cr 2.93-3.01, 4 Zr 3.06-3.13
V (0.0000, 0.5000, 0.5000)  4 Cr 2.53, 2 V 2.59
V (0.5000, 0.5000, 0.0000)  4 Cr 2.53, 2 V 2.59
Cr (0.0000, 0.0000, 0.5000)  2 Cr 2.47, 4 V 2.53
Cr (0.0000, 0.5000, 0.0000)  2 Cr 2.47, 4 V 2.53

Results
E_tot = -22.182 eV per atom
Space-group type = No. 74
Formation energy from the elements = 0.01 eV/atom